Material: CdTcHgOs
Method: DFT, PBE-GGA
State: optimized geometry

- formation enthalpy at 0 K (eV/atom) = 0.249
- DFT total energy (eV/atom) = -5.454
- density of states at the Fermi level (states/eV per atom) = 0.57
- polymorph energy (0 for the lowest one) (eV per formula unit) = 0.11

Structure (CIF):
```
data_CdTcHgOs
_chemical_formula_sum 'Cd1 Tc1 Hg1 Os1'
_cell_length_a 2.9130
_cell_length_b 2.9130
_cell_length_c 8.4385
_cell_angle_alpha 90.00
_cell_angle_beta 90.00
_cell_angle_gamma 90.00
_symmetry_space_group_name_H-M 'P 4 m m'
_symmetry_Int_Tables_number 99
_symmetry_space_group_name_Hall 'P 4 -2'
loop_
_atom_site_label
_atom_site_fract_x
_atom_site_fract_y
_atom_site_fract_z
Cd1 0.0000 0.0000 0.0000
Tc1 0.5000 0.5000 0.2555
Hg1 0.5000 0.5000 0.7004
Os1 0.0000 0.0000 0.4375
```



Material: ErGeHRh2
Method: DFT, PBE-GGA
State: optimized geometry

- DFT total energy (eV/atom) = -6.203
- density of states at the Fermi level (states/eV per atom) = 0.43

Structure (CIF):
```
data_ErGeHRh2
_chemical_formula_sum 'Er4 Ge4 H4 Rh8'
_cell_length_a 3.5721
_cell_length_b 11.0678
_cell_length_c 7.3987
_cell_angle_alpha 90.00
_cell_angle_beta 90.00
_cell_angle_gamma 90.00
_symmetry_space_group_name_H-M 'C m c m'
_symmetry_Int_Tables_number 63
_symmetry_space_group_name_Hall '-C 2c 2'
loop_
_atom_site_label
_atom_site_fract_x
_atom_site_fract_y
_atom_site_fract_z
Er1 0.0000 0.0374 0.2500
Ge1 0.0000 0.2398 0.7500
H1 0.0000 0.5000 0.0000
Rh1 0.0000 0.3503 0.0528
```



Material: Hf4Sc2Te9
Method: DFT, PBE-GGA
State: optimized geometry

- DFT total energy (eV/atom) = -6.241
- density of states at the Fermi level (states/eV per atom) = 0.54

Structure (CIF):
```
data_Hf4Sc2Te9
_chemical_formula_sum 'Hf8 Sc4 Te18'
_cell_length_a 7.1464
_cell_length_b 7.1464
_cell_length_c 19.9057
_cell_angle_alpha 90.00
_cell_angle_beta 90.00
_cell_angle_gamma 120.00
_symmetry_space_group_name_H-M 'P -3 c 1'
_symmetry_Int_Tables_number 165
_symmetry_space_group_name_Hall '-P 3 2"c'
loop_
_atom_site_label
_atom_site_fract_x
_atom_site_fract_y
_atom_site_fract_z
Hf1 0.3333 0.6667 0.3364
Hf2 0.3333 0.6667 0.4952
Sc1 0.0000 0.0000 0.1675
Te1 0.0000 0.3373 0.2500
Te2 0.0061 0.3356 0.5830
```



Material: PuTl2Sb2Au
Method: DFT, PBE-GGA
State: optimized geometry

- DFT total energy (eV/atom) = -5.347
- density of states at the Fermi level (states/eV per atom) = 2.14

Structure (CIF):
```
data_PuTl2Sb2Au
_chemical_formula_sum 'Pu2 Tl4 Sb4 Au2'
_cell_length_a 4.6363
_cell_length_b 10.5856
_cell_length_c 7.1929
_cell_angle_alpha 90.00
_cell_angle_beta 90.00
_cell_angle_gamma 90.00
_symmetry_space_group_name_H-M 'P m c 21'
_symmetry_Int_Tables_number 26
_symmetry_space_group_name_Hall 'P 2c -2'
loop_
_atom_site_label
_atom_site_fract_x
_atom_site_fract_y
_atom_site_fract_z
Pu1 0.0000 0.0194 0.0000
Tl1 0.0000 0.3416 0.7888
Tl2 0.5000 0.4357 0.4534
Sb1 0.0000 0.2742 0.2263
Sb2 0.5000 0.1236 0.7257
Au1 0.5000 0.1410 0.3179
```



Material: Na2YZr
Method: DFT, PBE-GGA
State: optimized geometry

- formation enthalpy at 0 K (eV/atom) = 0.800
- DFT total energy (eV/atom) = -3.612
- density of states at the Fermi level (states/eV per atom) = 1.08
- polymorph energy (0 for the lowest one) (eV per formula unit) = 0.35

Structure (CIF):
```
data_Na2YZr
_chemical_formula_sum 'Na8 Y4 Zr4'
_cell_length_a 8.7483
_cell_length_b 8.7483
_cell_length_c 5.9444
_cell_angle_alpha 90.00
_cell_angle_beta 90.00
_cell_angle_gamma 90.00
_symmetry_space_group_name_H-M 'I -4 2 d'
_symmetry_Int_Tables_number 122
_symmetry_space_group_name_Hall 'I -4 2bw'
loop_
_atom_site_label
_atom_site_fract_x
_atom_site_fract_y
_atom_site_fract_z
Na1 0.2433 0.2500 0.1250
Y1 0.0000 0.0000 0.5000
Zr1 0.0000 0.0000 0.0000
```



Material: LiGaClO2
Method: DFT, PBE-GGA
State: optimized geometry

- DFT total energy (eV/atom) = -3.246
- density of states at the Fermi level (states/eV per atom) = 0.30

Structure (CIF):
```
data_LiGaClO2
_chemical_formula_sum 'Li1 Ga1 Cl1 O2'
_cell_length_a 4.2844
_cell_length_b 4.2844
_cell_length_c 4.1128
_cell_angle_alpha 90.00
_cell_angle_beta 90.00
_cell_angle_gamma 90.00
_symmetry_space_group_name_H-M 'P 4/m m m'
_symmetry_Int_Tables_number 123
_symmetry_space_group_name_Hall '-P 4 2'
loop_
_atom_site_label
_atom_site_fract_x
_atom_site_fract_y
_atom_site_fract_z
Li1 0.0000 0.0000 0.0000
Ga1 0.5000 0.5000 0.0000
Cl1 0.0000 0.0000 0.5000
O1 0.0000 0.5000 0.5000
```